(i)
Mg2H2Ir3: relaxed, PBE.

## Properties
Theoretical density (g/cm³): 12.0
SG: P1, No. 1
Crystal system: triclinic

abc: 2.858 5.055 6.471
angles: 77.95 77.35 73.69
Fractional positions:
Mg (0.000, 0.000, 0.000)
Mg (0.152, 0.395, 0.296)
H (0.581, 0.699, 0.137)
H (0.883, 0.841, 0.386)
Ir (0.302, 0.830, 0.557)
Ir (0.541, 0.258, 0.656)
Ir (0.764, 0.553, 0.916)

***

(ii)
Mg2H2Ir3: relaxed, PBE.

## Properties
Theoretical density (g/cm³): 11.8
SG: P-1, No. 2
Crystal system: triclinic

abc: 4.539 4.753 4.922
angles: 83.73 64.05 67.67
Fractional positions:
Mg (0.118, 0.182, 0.140)
Mg (0.882, 0.818, 0.860)
H (0.029, 0.198, 0.652)
H (0.971, 0.802, 0.348)
Ir (0.412, 0.544, 0.272)
Ir (0.500, 0.000, 0.500)
Ir (0.588, 0.456, 0.728)

***

(iii)
Mg2H2Ir3: relaxed, PBE.

## Properties
Theoretical density (g/cm³): 12.3
SG: P1, No. 1
Crystal system: triclinic

abc: 2.889 4.917 6.517
angles: 74.82 77.23 72.97
Fractional positions:
Mg (0.000, 0.000, 0.000)
Mg (0.148, 0.413, 0.288)
H (0.378, 0.004, 0.236)
H (0.640, 0.637, 0.082)
Ir (0.354, 0.805, 0.486)
Ir (0.576, 0.203, 0.643)
Ir (0.789, 0.582, 0.838)

***

(iv)
Mg2H2Ir3: relaxed, PBE.

## Properties
Theoretical density (g/cm³): 12.4
SG: P-1, No. 2
Crystal system: triclinic

abc: 2.903 4.885 6.422
angles: 103.62 90.04 107.19
Fractional positions:
Mg (0.113, 0.225, 0.359)
Mg (0.887, 0.775, 0.641)
H (0.356, 0.709, 0.352)
H (0.644, 0.291, 0.648)
Ir (0.187, 0.376, 0.817)
Ir (0.500, 0.000, 0.000)
Ir (0.813, 0.624, 0.183)

***

What should be chosen as the most stable of them? Choose (iv).

***

(i)
Mg2H2Ir3: relaxed, PBE.

## Properties
Theoretical density (g/cm³): 11.4
SG: P1, No. 1
Crystal system: triclinic

abc: 4.453 5.077 5.297
angles: 96.04 114.86 115.90
Fractional positions:
Mg (0.000, 0.000, 0.000)
Mg (0.031, 0.410, 0.655)
H (0.527, 0.366, 0.694)
H (0.596, 0.046, 0.146)
Ir (0.258, 0.960, 0.559)
Ir (0.519, 0.745, 0.295)
Ir (0.753, 0.426, 0.079)

***

(ii)
Mg2H2Ir3: relaxed, PBE.

## Properties
Theoretical density (g/cm³): 11.7
SG: Cm, No. 8
Crystal system: monoclinic

abc: 5.202 5.202 7.966
angles: 126.72 126.72 31.71
Fractional positions:
Mg (0.000, 0.000, 0.000)
Mg (0.562, 0.562, 0.679)
H (0.280, 0.280, 0.841)
H (0.829, 0.829, 0.145)
Ir (0.270, 0.270, 0.623)
Ir (0.487, 0.487, 0.295)
Ir (0.774, 0.774, 0.328)

***

What should be chosen as the most stable of them? Choose (ii).

***

(i)
Mg3HIr2: relaxed, PBE.

## Properties
Theoretical density (g/cm³): 8.8
SG: C2, No. 5
Crystal system: monoclinic

abc: 4.485 4.485 5.269
angles: 108.80 108.80 61.75
Fractional positions:
Mg (0.000, 0.000, 0.000)
Mg (0.242, 0.245, 0.656)
Mg (0.755, 0.758, 0.344)
H (0.288, 0.712, 0.500)
Ir (0.384, 0.373, 0.213)
Ir (0.627, 0.616, 0.787)

***

(ii)
Mg3HIr2: relaxed, PBE.

## Properties
Theoretical density (g/cm³): 8.1
SG: Cm, No. 8
Crystal system: monoclinic

abc: 5.240 5.240 4.201
angles: 113.45 113.45 67.65
Fractional positions:
Mg (0.000, 0.000, 0.000)
Mg (0.288, 0.288, 0.782)
Mg (0.617, 0.617, 0.620)
H (0.368, 0.368, 0.325)
Ir (0.016, 0.583, 0.299)
Ir (0.583, 0.016, 0.299)

***

What should be chosen as the most stable of them? Choose (ii).

***

(i)
Mg3HIr3: relaxed, PBE.

## Properties
Theoretical density (g/cm³): 9.6
SG: P1, No. 1
Crystal system: triclinic

abc: 4.275 5.081 6.117
angles: 82.70 69.63 65.14
Fractional positions:
Mg (0.000, 0.000, 0.000)
Mg (0.177, 0.413, 0.233)
Mg (0.453, 0.417, 0.679)
H (0.954, 0.329, 0.768)
Ir (0.404, 0.845, 0.347)
Ir (0.718, 0.612, 0.954)
Ir (0.796, 0.845, 0.565)

***

(ii)
Mg3HIr3: relaxed, PBE.

## Properties
Theoretical density (g/cm³): 11.4
SG: C2/m, No. 12
Crystal system: monoclinic

abc: 4.479 4.479 5.461
angles: 90.59 90.59 59.57
Fractional positions:
Mg (0.000, 0.000, 0.000)
Mg (0.337, 0.337, 0.668)
Mg (0.663, 0.663, 0.332)
H (0.500, 0.500, 0.000)
Ir (0.000, 0.000, 0.500)
Ir (0.319, 0.319, 0.179)
Ir (0.681, 0.681, 0.821)

***

What should be chosen as the most stable of them? Choose (ii).

***

(i)
MgH6Ir: relaxed, PBE.

## Properties
Theoretical density (g/cm³): 5.3
SG: Cm, No. 8
Crystal system: monoclinic

abc: 4.724 4.724 5.010
angles: 119.57 119.57 47.23
Fractional positions:
Mg (0.000, 0.000, 0.000)
H (0.000, 0.000, 0.423)
H (0.046, 0.487, 0.417)
H (0.222, 0.222, 0.978)
H (0.459, 0.459, 0.891)
H (0.487, 0.046, 0.417)
H (0.703, 0.703, 0.680)
Ir (0.227, 0.227, 0.650)

***

(ii)
MgH6Ir: relaxed, PBE.

## Properties
Theoretical density (g/cm³): 5.3
SG: C2/c, No. 15
Crystal system: monoclinic

abc: 4.747 4.747 6.486
angles: 102.11 102.11 94.87
Fractional positions:
Mg (0.070, 0.930, 0.750)
Mg (0.930, 0.070, 0.250)
H (0.209, 0.237, 0.030)
H (0.215, 0.641, 0.265)
H (0.234, 0.591, 0.857)
H (0.237, 0.209, 0.530)
H (0.359, 0.785, 0.235)
H (0.409, 0.766, 0.643)
H (0.591, 0.234, 0.357)
H (0.641, 0.215, 0.765)
H (0.763, 0.791, 0.470)
H (0.766, 0.409, 0.143)
H (0.785, 0.359, 0.735)
H (0.791, 0.763, 0.970)
Ir (0.000, 0.500, 0.000)
Ir (0.500, 0.000, 0.500)

***

What should be chosen as the most stable of them? Choose (i).

***

(i)
MgH6Ir: relaxed, PBE.

## Properties
Theoretical density (g/cm³): 5.8
SG: P1, No. 1
Crystal system: triclinic

abc: 3.639 4.451 4.806
angles: 115.04 112.23 90.02
Fractional positions:
Mg (0.000, 0.000, 0.000)
H (0.025, 0.540, 0.499)
H (0.229, 0.018, 0.461)
H (0.471, 0.540, 0.499)
H (0.523, 0.301, 0.049)
H (0.539, 0.806, 0.079)
H (0.889, 0.373, 0.780)
Ir (0.370, 0.423, 0.743)

***

(ii)
MgH6Ir: relaxed, PBE.

## Properties
Theoretical density (g/cm³): 5.3
SG: P1, No. 1
Crystal system: triclinic

abc: 3.335 3.586 5.837
angles: 90.18 90.05 90.68
Fractional positions:
Mg (0.000, 0.000, 0.000)
H (0.066, 0.085, 0.363)
H (0.499, 0.498, 0.520)
H (0.500, 0.499, 0.098)
H (0.500, 0.998, 0.742)
H (0.933, 0.909, 0.362)
H (0.999, 0.498, 0.705)
Ir (0.500, 0.498, 0.802)

***

What should be chosen as the most stable of them? Choose (i).